Computed, not measured: a crystal of Ba2GeO4 relaxed with PBEsol at the SCAN level of DFT.

Geometry as extended XYZ:
```
56
Lattice="-3.5898 0.1628 4.8407 8.0396 -2.6532 6.0512 3.3384 14.6397 1.9834" Properties=species:S:1:pos:R:3 pbc="T T T"
Ba 3.8351 -1.2881 8.3791
Ba 1.1005 0.8612 6.1958
Ba -0.3184 1.8526 1.4318
Ba 4.9223 1.3509 5.2920
Ba -0.5825 4.1175 4.8708
Ba 2.7346 4.2388 7.3698
Ba 7.7528 3.1265 7.2988
Ba 2.9719 5.9285 3.7422
Ba 5.3709 6.0378 9.5506
Ba 2.5569 8.1906 7.4745
Ba 1.2104 9.1788 2.6129
Ba 6.4099 8.6789 6.5286
Ba 0.9050 11.4455 6.1074
Ba 4.2634 11.5650 8.5508
Ba 9.2092 10.4560 8.5774
Ba 4.5078 13.2544 4.9137
Ge -1.6649 0.0097 4.5020
Ge 2.2887 2.7137 3.3713
Ge 4.6095 1.8891 8.8742
Ge 5.7168 5.4732 6.0382
Ge 0.1054 7.3249 5.3574
Ge 3.8510 10.0384 4.5072
Ge 6.1718 9.2137 10.0101
Ge 7.4870 12.7884 6.8936
O 1.6917 14.4833 4.7337
O 1.0292 -0.8453 8.2607
O 5.4182 -1.4750 6.1072
O 1.5745 1.1076 3.3140
O -1.2948 1.6463 5.0270
O 3.4352 1.4938 7.5870
O 3.9879 1.0579 10.3163
O 6.1816 1.2162 8.4433
O 4.0196 2.7373 3.0347
O 1.9984 3.3354 5.0102
O 1.4712 3.8832 2.2961
O 5.3232 3.7611 6.1095
O 4.6523 3.6028 9.2667
O 1.0222 6.1542 6.3448
O 0.2568 6.7695 3.6777
O 5.9050 6.0531 4.3876
O -1.5696 7.2357 5.8889
O 4.4558 6.3948 6.8827
O 7.2427 5.8378 6.8894
O 3.5368 8.4142 3.9104
O 0.7677 8.9483 5.4883
O 4.5867 8.8371 9.2769
O 7.3432 8.3012 9.0344
O 6.1954 8.6111 11.6673
O 4.0334 10.1322 6.2587
O 5.3537 10.5788 3.7282
O 2.6227 11.2265 3.9859
O 7.3857 11.0631 6.5708
O 6.6146 10.9094 9.8632
O 2.8467 13.4670 7.1270
O 3.6834 14.0096 2.2996
O 2.6437 -1.1945 5.5427
```

Properties
The calculated total energy is -20.278 eV per atom. As for the formation energy without anion corrections: -2691 meV per atom. Its density of states at the Fermi level is 0.0 states/eV per cell. The value obtained for the spin magnetization is 0.06 μB per formula unit.

***

Computed, not measured: a crystal of BaGe4O9 relaxed with PBEsol at the SCAN level of DFT.

Geometry as extended XYZ:
```
42
Lattice="4.7707 0.0000 0.0000 0.0000 11.6197 0.0000 0.0000 -5.8098 10.0629" Properties=species:S:1:pos:R:3 pbc="T T T"
Ba 0.0149 7.7623 0.0011
Ba 0.0149 7.7375 6.7218
Ba 0.0149 1.9296 3.3400
Ge 0.4941 5.8098 3.3543
Ge 4.2987 0.0000 6.7086
Ge 0.0131 0.0000 0.0000
Ge 2.8317 4.7220 5.1543
Ge 2.8317 4.7949 1.5123
Ge 2.8317 7.9126 3.3964
Ge 2.3984 4.7733 8.2687
Ge 2.3984 -3.7377 10.0623
Ge 2.3984 -1.0355 1.7948
Ge 1.9620 2.1021 6.6671
Ge 1.9620 -1.0151 8.5498
Ge 1.9620 -1.0869 4.9089
O 4.1900 4.4615 4.0833
O 4.1900 5.8527 1.8221
O 4.1900 7.1153 4.1575
O 3.6589 4.3976 9.4417
O 3.6589 -4.5657 9.1505
O 3.6589 0.1681 1.5336
O 3.3262 5.2218 6.7985
O 3.3262 3.1211 1.1230
O 3.3262 9.0866 2.1415
O 1.4696 3.2766 7.9224
O 1.4696 -2.6895 8.9393
O 1.4696 -0.5871 3.2641
O 0.6023 1.3065 5.9068
O 0.6023 0.0411 8.2410
O 0.6023 -1.3477 5.9781
O 1.5671 5.9125 4.9034
O 1.5671 4.4170 2.6687
O 1.5671 7.1000 2.4909
O 2.3965 2.9982 5.1936
O 2.3965 -0.1871 10.0626
O 2.3965 -2.8111 4.8696
O 3.2254 1.2887 7.5736
O 3.2254 -1.3935 7.3922
O 3.2254 0.1048 5.1601
O 1.1383 5.9773 8.5296
O 1.1383 1.2442 0.9117
O 1.1383 10.2080 0.6217
```

Properties
The calculated total energy is -14.364 eV per atom. As for the formation energy without anion corrections: -2079 meV per atom. Its density of states at the Fermi level is 0.0 states/eV per cell. The value obtained for the spin magnetization is 0.00 μB per formula unit.

***

Computed, not measured: a crystal of Ba2GeO4 relaxed with PBEsol at the SCAN level of DFT.

Geometry as extended XYZ:
```
28
Lattice="-3.5423 2.3115 3.6593 4.5897 -2.2458 5.8617 6.3354 10.9316 -0.7723" Properties=species:S:1:pos:R:3 pbc="T T T"
Ba 0.0000 0.0000 0.0000
Ba 2.2949 -1.1229 2.9309
Ba 7.9303 6.1746 3.8932
Ba 3.0881 1.8014 6.0091
Ba 1.3966 6.6216 1.4435
Ba 3.6914 5.4986 4.3743
Ba 4.2947 9.1959 2.7395
Ba -0.5475 4.8227 4.8554
Ge 4.7150 6.1497 1.2433
Ge 0.2432 1.5348 2.9766
Ge 7.1396 9.4625 5.7721
Ge 2.6679 4.8476 7.5053
O 3.4503 5.0050 1.7950
O 3.8429 7.5604 0.5828
O 5.5193 6.7401 2.7237
O 8.2918 8.7968 4.6148
O 5.1304 3.3269 4.9945
O 0.2619 2.3643 1.3959
O 1.9383 1.5440 3.5368
O 6.1866 10.7524 1.8545
O 1.1963 0.2449 6.8941
O 5.4446 9.4533 5.2118
O 7.1210 8.6330 7.3528
O 2.2524 7.6704 3.7542
O -0.9090 2.2005 4.1338
O 1.8636 4.2571 6.0249
O 3.5400 3.4369 8.1659
O 3.9325 5.9923 6.9537
```

Properties
The calculated total energy is -20.199 eV per atom. As for the formation energy without anion corrections: -2612 meV per atom. Its density of states at the Fermi level is 0.0 states/eV per cell. The value obtained for the spin magnetization is 0.00 μB per formula unit.